ZrH2Cl6 | GGA-PBE | relaxed

Unit cell a=9.498 b=9.498 c=6.229 alpha=96.45 beta=96.45 gamma=83.96
Sites, in units of the cell vectors:
Zr  0.100  0.900  0.750
Zr  0.900  0.100  0.250
H  0.347  0.393  0.218
H  0.393  0.347  0.718
H  0.607  0.653  0.282
H  0.653  0.607  0.782
Cl  0.039  0.161  0.610
Cl  0.109  0.670  0.858
Cl  0.161  0.039  0.110
Cl  0.287  0.450  0.389
Cl  0.330  0.891  0.642
Cl  0.450  0.287  0.889
Cl  0.550  0.713  0.111
Cl  0.670  0.109  0.358
Cl  0.713  0.550  0.611
Cl  0.839  0.961  0.890
Cl  0.891  0.330  0.142
Cl  0.961  0.839  0.390

Properties
D(E_F)   0.00 states/eV per cell
Total DFT energy (no corrections)   -4.142 eV per atom
V   552.4 Å³ per cell